# 1
The following is a PBE calculation of a relaxed CaVSb2Te crystal, from the Alexandria database.

Unit cell a=5.666 b=5.666 c=5.680 alpha=90.00 beta=90.00 gamma=90.00
Positions (direct):
Ca 0.000 0.000 0.000
V 0.500 0.500 0.500
Sb 0.000 0.500 0.000
Sb 0.500 0.000 0.000
Te 0.000 0.000 0.500

Computed properties:
Energy above the lowest structure with this stoichiometry ... 1048 meV per atom
E_form (uncorrected) ... 0.90 eV/atom
Space-group type ... P4/mmm (123)
Volume ... 36.469 Å³ per atom

=====

# 2
The following is a PBE calculation of a relaxed MnNb2H crystal, from the Alexandria database.

Unit cell a=5.966 b=5.966 c=5.966 alpha=90.00 beta=90.00 gamma=90.00
Positions (direct):
Mn 0.000 0.000 0.000
Mn 0.000 0.500 0.500
Mn 0.500 0.000 0.500
Mn 0.500 0.500 0.000
Nb 0.250 0.250 0.250
Nb 0.250 0.250 0.750
Nb 0.250 0.750 0.250
Nb 0.250 0.750 0.750
Nb 0.750 0.250 0.250
Nb 0.750 0.250 0.750
Nb 0.750 0.750 0.250
Nb 0.750 0.750 0.750
H 0.000 0.000 0.500
H 0.000 0.500 0.000
H 0.500 0.000 0.000
H 0.500 0.500 0.500

Computed properties:
Energy above the lowest structure with this stoichiometry ... 210 meV per atom
Space-group type ... Fm-3m (225)
Volume ... 13.272 Å³ per atom

=====

# 3
The following is a PBE calculation of a relaxed La6In2C crystal, from the Alexandria database.

Unit cell a=7.308 b=7.308 c=7.308 alpha=60.00 beta=60.00 gamma=60.00
Positions (direct):
La 0.244 0.244 0.756
La 0.244 0.756 0.244
La 0.244 0.756 0.756
La 0.756 0.244 0.244
La 0.756 0.244 0.756
La 0.756 0.756 0.244
In 0.250 0.250 0.250
In 0.750 0.750 0.750
C 0.000 0.000 0.000

Computed properties:
Energy above the lowest structure with this stoichiometry ... 0 meV per atom
DFT formation energy ... -341 meV per atom
Space-group type ... Fm-3m (225)
Volume ... 30.663 Å³ per atom

=====

# 4
The following is a PBE calculation of a relaxed Ga6Pb crystal, from the Alexandria database.

Unit cell a=7.115 b=7.115 c=7.115 alpha=90.00 beta=90.00 gamma=90.00
Positions (direct):
Ga 0.000 0.250 0.500
Ga 0.000 0.500 0.250
Ga 0.000 0.500 0.750
Ga 0.000 0.750 0.500
Ga 0.250 0.000 0.500
Ga 0.250 0.500 0.000
Ga 0.500 0.000 0.250
Ga 0.500 0.000 0.750
Ga 0.500 0.250 0.000
Ga 0.500 0.750 0.000
Ga 0.750 0.000 0.500
Ga 0.750 0.500 0.000
Pb 0.000 0.000 0.000
Pb 0.500 0.500 0.500

Computed properties:
Energy above the lowest structure with this stoichiometry ... 214 meV per atom
DFT formation energy ... 269 meV per atom
Space-group type ... Im-3m (229)
Volume ... 25.722 Å³ per atom